20
Lattice="-2.6478 -2.4307 1.6510 7.9241 -2.7701 8.6302 -5.5272 9.8863 5.6907" Properties=species:S:1:pos:R:3 comment="PBE-GGA NaSn3Cl6, relaxed" dft_energy_ev_per_cell=-68.8 n_ef_per_ev_fu=2.416 magnetic_moment_mub_per_cell=0.00 raw_formation_energy_kcal_per_mol_atoms=-23.088 crystal_system=monoclinic pbc="T T T"
Cl -0.2616 0.9115 3.2914
Cl 4.9593 -3.4401 9.9961
Cl 3.2490 2.4447 11.1790
Cl -1.9437 3.0660 8.5037
Cl -2.8307 5.5891 6.0578
Cl 1.0033 -2.0792 5.6551
Cl 1.6927 1.6196 7.4682
Cl -1.2543 6.7647 10.3168
Cl -3.5000 2.2409 4.7929
Cl 0.0106 3.7741 12.6804
Cl -5.2103 8.1257 5.9758
Cl 2.5797 -0.9035 9.9141
Sn 0.8605 1.0340 10.0093
Sn -1.1114 3.6516 5.9626
Sn -4.1200 6.0843 9.4571
Sn 0.8017 6.3395 12.9881
Sn 3.8690 -1.3987 6.5148
Sn -1.0527 -1.6539 2.9838
Na -5.2942 4.4642 5.1887
Na 5.0432 0.2214 10.7832